This record from Alexandria via LeMat-Bulk describes a relaxed structure of Re2HgSe. The functional is PBE.

Values from the calculation:
The density of states at the Fermi level is 3.56 states/eV/cell. The value obtained for the polymorph energy (0 for the lowest one) is 0.787 eV/atom. The symmetry is No. 123.

Lattice parameters (Å, degrees): 4.551 4.551 3.173 90.00 90.00 90.00
Fractional positions:
1 Hg 0.000 0.500 0.500
2 Re 0.000 0.000 0.000
3 Re 0.500 0.500 0.000
4 Se 0.500 0.000 0.500